Record 1
Crystalline CaZn2H8Ru at its relaxed geometry. Source: Alexandria, functional PBE.

Computed properties:
size of the total moment	0.0	μB per cell
space group	No. 164
energy	-0.2626	Ry per atom

Cell: 4.4532 4.4532 6.1504 Å, 90.00 90.00 120.00°
Element x y z (fractional)
1 Ca 0.0000 0.0000 0.5000
2 H 0.8295 0.1705 0.8293
3 H 0.1705 0.3409 0.1707
4 H 0.6591 0.8295 0.1707
5 H 0.8295 0.6591 0.8293
6 H 0.1705 0.8295 0.1707
7 H 0.3409 0.1705 0.8293
8 H 0.3333 0.6667 0.5639
9 H 0.6667 0.3333 0.4361
10 Ru 0.0000 0.0000 0.0000
11 Zn 0.6667 0.3333 0.1571
12 Zn 0.3333 0.6667 0.8429

***

Record 2
Crystalline CaHS at its relaxed geometry. Source: Alexandria, functional PBE.

Computed properties:
size of the total moment	0.0	μB per cell
space group	No. 6
energy	-0.3238	Ry per atom

Cell: 3.7653 3.9086 7.4317 Å, 90.00 104.20 90.00°
Element x y z (fractional)
1 S 0.6964 0.5000 0.3746
2 S 0.9516 0.0000 0.8750
3 Ca 0.5112 0.5000 0.9962
4 Ca 0.2500 0.0000 0.4882
5 H 0.2462 0.5000 0.6784
6 H 0.4522 0.5000 0.6754

***

Record 3
Crystalline CaH3S at its relaxed geometry. Source: Alexandria, functional PBE.

Computed properties:
size of the total moment	0.0	μB per cell
distance to the lowest polymorph of the same formula	0.000	eV/atom
space group	No. 221

Cell: 3.8511 3.8511 3.8511 Å, 90.00 90.00 90.00°
Element x y z (fractional)
1 S 0.0000 0.0000 0.0000
2 H 0.0000 0.5000 0.0000
3 H 0.5000 0.0000 0.0000
4 H 0.0000 0.0000 0.5000
5 Ca 0.5000 0.5000 0.5000

***

Record 4
Crystalline CaHS at its relaxed geometry. Source: Alexandria, functional PBE.

Computed properties:
size of the total moment	0.0	μB per cell
space group	No. 71
energy	-0.3184	Ry per atom

Cell: 4.8289 5.3831 7.4363 Å, 111.22 108.95 90.00°
Element x y z (fractional)
1 Ca 0.7821 0.7821 0.5643
2 Ca 0.2179 0.2179 0.4357
3 S 0.1835 0.6835 0.3670
4 S 0.8165 0.3165 0.6330
5 H 0.5000 0.0702 0.0000
6 H 0.5000 0.9298 0.0000